First-principles (GGA-PBE) data for a geometry-optimized ZrBe4 structure, as listed in the Alexandria database.

Properties
energy above the lowest structure with this stoichiometry: 0.00 kcal/mol of atoms
formation energy: -0.20 eV/atom

Lattice parameters (Å, degrees): 3.6015 3.6015 8.6324 90.00 90.00 90.00
Space group I4/mmm (No. 139)
Unique sites:
Zr: 0.0000 0.0000 0.0000
Be: 0.0000 0.0000 0.3782
Be: 0.0000 0.5000 0.2500